First-principles (PBE-GGA) data for a geometry-optimized TbTcO4 structure, as listed in Alexandria. Values from VASP.

Structure (Quantum ESPRESSO input):
```
&SYSTEM
  ibrav = 0, nat = 12, ntyp = 3
/
ATOMIC_SPECIES
Tb 158.93 Tb.upf
Tc 98.00 Tc.upf
O 16.00 O.upf
CELL_PARAMETERS angstrom
5.809 0.000 0.000
0.000 4.984 0.000
-1.914 0.000 5.409
ATOMIC_POSITIONS crystal
Tb 0.000 0.000 0.000
Tb 0.000 0.500 0.500
Tc 0.500 0.000 0.500
Tc 0.500 0.500 0.000
O 0.174 0.149 0.388
O 0.174 0.351 0.888
O 0.384 0.716 0.683
O 0.384 0.784 0.183
O 0.616 0.216 0.817
O 0.616 0.284 0.317
O 0.826 0.649 0.112
O 0.826 0.851 0.612
```

Properties
The value obtained for the total energy is -8.02 eV/atom. The raw formation energy comes out at -2.22 eV per atom. The calculation puts the relative energy among the computed polymorphs at 75 meV/atom.

***

First-principles (PBE-GGA) data for a geometry-optimized ZnBi2PtW structure, as listed in Alexandria. Values from VASP.

Structure (Quantum ESPRESSO input):
```
&SYSTEM
  ibrav = 0, nat = 5, ntyp = 4
/
ATOMIC_SPECIES
Zn 65.41 Zn.upf
Bi 208.98 Bi.upf
Pt 195.08 Pt.upf
W 183.84 W.upf
CELL_PARAMETERS angstrom
5.215 0.000 0.000
0.000 5.215 0.000
0.000 0.000 4.642
ATOMIC_POSITIONS crystal
Zn 0.000 0.000 0.000
Bi 0.000 0.500 0.000
Bi 0.500 0.000 0.000
Pt 0.000 0.000 0.500
W 0.500 0.500 0.500
```

Properties
Its formation energy is 1346 meV per atom. The value obtained for the total energy is -4.26 eV/atom.

***

First-principles (PBE-GGA) data for a geometry-optimized CeDy12Y5 structure, as listed in Alexandria. Values from VASP.

Structure (Quantum ESPRESSO input):
```
&SYSTEM
  ibrav = 0, nat = 18, ntyp = 3
/
ATOMIC_SPECIES
Ce 140.12 Ce.upf
Dy 162.50 Dy.upf
Y 88.91 Y.upf
CELL_PARAMETERS angstrom
7.533 -7.538 0.000
7.533 7.538 0.000
0.000 0.000 5.026
ATOMIC_POSITIONS crystal
Ce 0.000 0.000 0.000
Dy 0.001 0.334 0.000
Dy 0.166 0.166 0.500
Dy 0.167 0.499 0.500
Dy 0.332 0.332 0.000
Dy 0.334 0.001 0.000
Dy 0.499 0.167 0.500
Dy 0.501 0.833 0.500
Dy 0.666 0.999 0.000
Dy 0.668 0.668 0.000
Dy 0.833 0.501 0.500
Dy 0.834 0.834 0.500
Dy 0.999 0.666 0.000
Y 0.165 0.835 0.500
Y 0.333 0.667 0.000
Y 0.500 0.500 0.500
Y 0.667 0.333 0.000
Y 0.835 0.165 0.500
```

Properties
Its formation energy is 33 meV per atom. The value obtained for the total energy is -5.16 eV/atom.

***

First-principles (PBE-GGA) data for a geometry-optimized TaNi2Mo structure, as listed in Alexandria. Values from VASP.

Structure (Quantum ESPRESSO input):
```
&SYSTEM
  ibrav = 0, nat = 4, ntyp = 3
/
ATOMIC_SPECIES
Ta 180.95 Ta.upf
Ni 58.69 Ni.upf
Mo 95.94 Mo.upf
CELL_PARAMETERS angstrom
3.162 0.000 0.000
0.000 3.162 0.000
0.000 0.000 5.617
ATOMIC_POSITIONS crystal
Ta 0.000 0.000 0.000
Ni 0.000 0.000 0.530
Ni 0.500 0.500 0.765
Mo 0.500 0.500 0.306
```

Properties
Its formation energy is -84 meV per atom. The value obtained for the total energy is -8.65 eV/atom. The calculation puts the relative energy among the computed polymorphs at 47 meV/atom.